Compound: NaIn2Co
Source: Alexandria via LeMat-Bulk
Functional: PBE-GGA
Structure: relaxed

Cell and atoms, written as CIF:
```
data_NaIn2Co
_space_group_name_H-M_alt 'P 4/m m m'
_space_group_IT_number 123
_space_group_name_Hall '-P 4 2'
_cell_length_a 3.1884
_cell_length_b 3.1884
_cell_length_c 8.0721
_cell_angle_alpha 90.00
_cell_angle_beta 90.00
_cell_angle_gamma 90.00
loop_
_atom_site_label
_atom_site_fract_x
_atom_site_fract_y
_atom_site_fract_z
_atom_site_occupancy
Na1 0.0000 0.0000 0.0000 1
In1 0.5000 0.5000 0.3062 1
Co1 0.0000 0.0000 0.5000 1
```

Compound: NaIn2Co
Source: Alexandria via LeMat-Bulk
Functional: PBE-GGA
Structure: relaxed

Cell and atoms, written as CIF:
```
data_NaIn2Co
_space_group_name_H-M_alt 'F m -3 m'
_space_group_IT_number 225
_space_group_name_Hall '-F 4 2 3'
_cell_length_a 6.6807
_cell_length_b 6.6807
_cell_length_c 6.6807
_cell_angle_alpha 90.00
_cell_angle_beta 90.00
_cell_angle_gamma 90.00
loop_
_atom_site_label
_atom_site_fract_x
_atom_site_fract_y
_atom_site_fract_z
_atom_site_occupancy
Na1 0.0000 0.0000 0.0000 1
In1 0.2500 0.2500 0.2500 1
Co1 0.0000 0.0000 0.5000 1
```

Compound: NaInCo3
Source: Alexandria via LeMat-Bulk
Functional: PBE-GGA
Structure: relaxed

Cell and atoms, written as CIF:
```
data_NaInCo3
_space_group_name_H-M_alt 'P m -3 m'
_space_group_IT_number 221
_space_group_name_Hall '-P 4 2 3'
_cell_length_a 4.4082
_cell_length_b 4.4082
_cell_length_c 4.4082
_cell_angle_alpha 90.00
_cell_angle_beta 90.00
_cell_angle_gamma 90.00
loop_
_atom_site_label
_atom_site_fract_x
_atom_site_fract_y
_atom_site_fract_z
_atom_site_occupancy
Na1 0.0000 0.0000 0.0000 1
In1 0.5000 0.5000 0.5000 1
Co1 0.0000 0.0000 0.5000 1
```

Compound: NaIn2Co2
Source: Alexandria via LeMat-Bulk
Functional: PBE-GGA
Structure: relaxed

Cell and atoms, written as CIF:
```
data_NaIn2Co2
_space_group_name_H-M_alt 'I 4/m m m'
_space_group_IT_number 139
_space_group_name_Hall '-I 4 2'
_cell_length_a 3.3254
_cell_length_b 3.3254
_cell_length_c 18.6774
_cell_angle_alpha 90.00
_cell_angle_beta 90.00
_cell_angle_gamma 90.00
loop_
_atom_site_label
_atom_site_fract_x
_atom_site_fract_y
_atom_site_fract_z
_atom_site_occupancy
Na1 0.0000 0.0000 0.0000 1
In1 0.0000 0.0000 0.3673 1
Co1 0.0000 0.5000 0.2500 1
```

Summary of ΔH_f (0 K) in eV per atom
0.06 0.20 1.64 0.15
(order as listed above)